Here is an optimized crystal structure of Nd2Y2ZnGa4 from the Alexandria database. Energies are from PBE.

Its magnetic moment is 0.0 μB/f.u. The calculation puts the formation energy from the elements at -0.2751 eV per atom. For the volume, the calculation gives 24.54 A^3/atom.

The space group is I4/mmm (No. 139) and the conventional cell measures 7.070, 7.070 and 8.835 Å, with angles of 90.00, 90.00 and 90.00 degrees. The asymmetric unit holds Nd at (0.000, 0.000, 0.188), Y at (0.000, 0.500, 0.250), Zn at (0.000, 0.000, 0.500) and Ga at (0.241, 0.241, 0.500).